(1)
Compound: Zr2ScZn
Source: the Open Quantum Materials Database
Functional: PBE
Structure: optimized geometry

Properties
electronic total energy	-0.459	Ry per atom
energy of formation	-80	meV per atom
total moment	0.1	μB/cell

a b c (Å): 6.1206 10.8004 5.0235
angles (deg): 90.00 90.00 90.00
Fractional positions:
Zr (0.2403, 0.0852, 0.2500)
Zr (0.2403, 0.9148, 0.7500)
Zr (0.2597, 0.4148, 0.7500)
Zr (0.2597, 0.5852, 0.2500)
Zr (0.7403, 0.4148, 0.7500)
Zr (0.7403, 0.5852, 0.2500)
Zr (0.7597, 0.0852, 0.2500)
Zr (0.7597, 0.9148, 0.7500)
Sc (0.0000, 0.3294, 0.2500)
Sc (0.0000, 0.6706, 0.7500)
Sc (0.5000, 0.1706, 0.7500)
Sc (0.5000, 0.8294, 0.2500)
Zn (0.0000, 0.1677, 0.7500)
Zn (0.0000, 0.8323, 0.2500)
Zn (0.5000, 0.3323, 0.2500)
Zn (0.5000, 0.6677, 0.7500)

(2)
Compound: CsBaPm
Source: the Open Quantum Materials Database
Functional: PBE
Structure: optimized geometry

Properties
electronic total energy	-0.113	Ry per atom
polymorph energy (0 for the lowest one)	0.051	eV per atom
total moment	0.1	μB/cell

a b c (Å): 8.7025 8.7025 8.7025
angles (deg): 90.00 90.00 90.00
Fractional positions:
Cs (0.0000, 0.0000, 0.0000)
Cs (0.0000, 0.5000, 0.5000)
Cs (0.5000, 0.0000, 0.5000)
Cs (0.5000, 0.5000, 0.0000)
Ba (0.2500, 0.2500, 0.7500)
Ba (0.2500, 0.7500, 0.2500)
Ba (0.7500, 0.2500, 0.2500)
Ba (0.7500, 0.7500, 0.7500)
Pm (0.2500, 0.2500, 0.2500)
Pm (0.2500, 0.7500, 0.7500)
Pm (0.7500, 0.2500, 0.7500)
Pm (0.7500, 0.7500, 0.2500)